{
  "formula": "Pm4Tm3Pu",
  "functional": "PBE",
  "state": "optimized geometry",
  "lattice": [[-1.725, 5.785, 6.426], [1.725, -5.785, 6.426], [1.725, 5.785, -6.426]],
  "species": ["Pm", "Pm", "Pm", "Pm", "Tm", "Tm", "Tm", "Pu"],
  "fractional_positions": [[0.118, 0.869, 0.249], [0.379, 0.131, 0.249], [0.621, 0.869, 0.751], [0.882, 0.131, 0.751], [0.234, 0.734, 0.500], [0.500, 0.500, 0.000], [0.766, 0.266, 0.500], [0.000, 0.000, 0.000]],
  "volume_a3_per_atom": 32.1,
  "final_energy_ev_per_atom": -5.68,
  "magmom_total_mub_per_fu": 6.333,
  "formation_energy_mev_per_atom": 159
}



{
  "formula": "PmTm2Pu",
  "functional": "PBE",
  "state": "optimized geometry",
  "lattice": [[3.501, 0.000, 0.000], [0.000, 3.501, 0.000], [0.000, 0.000, 9.912]],
  "species": ["Pm", "Tm", "Tm", "Pu"],
  "fractional_positions": [[0.000, 0.000, 0.000], [0.500, 0.500, 0.259], [0.500, 0.500, 0.741], [0.000, 0.000, 0.500]],
  "polymorph_energy_ev_per_fu": 0.00,
  "volume_a3_per_atom": 30.4,
  "final_energy_ev_per_atom": -6.91,
  "magmom_total_mub_per_fu": 6.470,
  "formation_energy_mev_per_atom": 93
}



{
  "formula": "Pm4Tm7Pu",
  "functional": "PBE",
  "state": "optimized geometry",
  "lattice": [[7.998, -2.925, 0.000], [7.998, 2.925, 0.000], [-4.479, 0.000, 8.174]],
  "species": ["Pm", "Pm", "Pm", "Pm", "Tm", "Tm", "Tm", "Tm", "Tm", "Tm", "Tm", "Pu"],
  "fractional_positions": [[0.091, 0.091, 0.460], [0.231, 0.231, 0.265], [0.769, 0.769, 0.735], [0.909, 0.909, 0.540], [0.000, 0.000, 0.000], [0.210, 0.210, 0.889], [0.336, 0.336, 0.661], [0.436, 0.436, 0.283], [0.564, 0.564, 0.717], [0.664, 0.664, 0.339], [0.790, 0.790, 0.111], [0.500, 0.500, 0.000]],
  "volume_a3_per_atom": 31.9,
  "final_energy_ev_per_atom": -5.13,
  "magmom_total_mub_per_fu": 7.353,
  "formation_energy_mev_per_atom": 256
}



{
  "formula": "PmTmPu4",
  "functional": "PBE",
  "state": "optimized geometry",
  "lattice": [[0.000, 4.367, 4.367], [4.367, 0.000, 4.367], [4.367, 4.367, 0.000]],
  "species": ["Pm", "Tm", "Pu", "Pu", "Pu", "Pu"],
  "fractional_positions": [[0.000, 0.000, 0.000], [0.750, 0.750, 0.750], [0.375, 0.375, 0.375], [0.375, 0.375, 0.875], [0.375, 0.875, 0.375], [0.875, 0.375, 0.375]],
  "volume_a3_per_atom": 27.8,
  "final_energy_ev_per_atom": -10.86,
  "magmom_total_mub_per_fu": 22.691,
  "formation_energy_mev_per_atom": 236
}



{
  "formula": "Pm12Tm3Pu",
  "functional": "PBE",
  "state": "optimized geometry",
  "lattice": [[5.102, 0.000, 0.000], [0.000, 5.102, 0.000], [0.000, 0.000, 20.366]],
  "species": ["Pm", "Pm", "Pm", "Pm", "Pm", "Pm", "Pm", "Pm", "Pm", "Pm", "Pm", "Pm", "Tm", "Tm", "Tm", "Pu"],
  "fractional_positions": [[0.000, 0.000, 0.000], [0.000, 0.000, 0.250], [0.000, 0.000, 0.500], [0.000, 0.000, 0.750], [0.000, 0.500, 0.123], [0.000, 0.500, 0.374], [0.000, 0.500, 0.626], [0.000, 0.500, 0.877], [0.500, 0.000, 0.123], [0.500, 0.000, 0.374], [0.500, 0.000, 0.626], [0.500, 0.000, 0.877], [0.500, 0.500, 0.250], [0.500, 0.500, 0.500], [0.500, 0.500, 0.750], [0.500, 0.500, 0.000]],
  "volume_a3_per_atom": 33.1,
  "final_energy_ev_per_atom": -5.25,
  "magmom_total_mub_per_fu": 6.300,
  "formation_energy_mev_per_atom": 44
}



{
  "formula": "PmTm14Pu",
  "functional": "PBE",
  "state": "optimized geometry",
  "lattice": [[6.983, 0.000, 0.000], [0.000, 6.983, 0.000], [0.000, 0.000, 9.846]],
  "species": ["Pm", "Tm", "Tm", "Tm", "Tm", "Tm", "Tm", "Tm", "Tm", "Tm", "Tm", "Tm", "Tm", "Tm", "Tm", "Pu"],
  "fractional_positions": [[0.000, 0.000, 0.000], [0.000, 0.000, 0.500], [0.000, 0.500, 0.000], [0.000, 0.500, 0.500], [0.252, 0.252, 0.250], [0.252, 0.252, 0.750], [0.252, 0.748, 0.250], [0.252, 0.748, 0.750], [0.500, 0.000, 0.000], [0.500, 0.000, 0.500], [0.500, 0.500, 0.500], [0.748, 0.252, 0.250], [0.748, 0.252, 0.750], [0.748, 0.748, 0.250], [0.748, 0.748, 0.750], [0.500, 0.500, 0.000]],
  "volume_a3_per_atom": 30.0,
  "final_energy_ev_per_atom": -5.06,
  "magmom_total_mub_per_fu": 6.238,
  "formation_energy_mev_per_atom": 43
}



{
  "formula": "Pm4Tm8Pu",
  "functional": "PBE",
  "state": "optimized geometry",
  "lattice": [[5.459, 3.152, 4.438], [-5.459, 3.152, 4.438], [0.000, -6.304, 4.438]],
  "species": ["Pm", "Pm", "Pm", "Pm", "Tm", "Tm", "Tm", "Tm", "Tm", "Tm", "Tm", "Tm", "Pu"],
  "fractional_positions": [[0.000, 0.000, 0.000], [0.000, 0.500, 0.500], [0.500, 0.000, 0.500], [0.500, 0.500, 0.000], [0.244, 0.244, 0.244], [0.244, 0.244, 0.755], [0.244, 0.755, 0.244], [0.245, 0.756, 0.756], [0.755, 0.244, 0.244], [0.756, 0.245, 0.756], [0.756, 0.756, 0.245], [0.756, 0.756, 0.756], [0.500, 0.500, 0.500]],
  "volume_a3_per_atom": 35.2,
  "final_energy_ev_per_atom": -4.78,
  "magmom_total_mub_per_fu": 7.197,
  "formation_energy_mev_per_atom": 540
}



{
  "formula": "PmTm2Pu",
  "functional": "PBE",
  "state": "optimized geometry",
  "lattice": [[4.957, 0.000, 0.000], [0.000, 4.957, 0.000], [0.000, 0.000, 4.947]],
  "species": ["Pm", "Tm", "Tm", "Pu"],
  "fractional_positions": [[0.000, 0.000, 0.000], [0.000, 0.500, 0.500], [0.500, 0.000, 0.500], [0.500, 0.500, 0.000]],
  "polymorph_energy_ev_per_fu": 0.18,
  "volume_a3_per_atom": 30.4,
  "final_energy_ev_per_atom": -6.87,
  "magmom_total_mub_per_fu": 6.238,
  "formation_energy_mev_per_atom": 138
}